1.
## BaLi4Tl6 (PBE)

Data for a relaxed BaLi4Tl6 crystal.

* energy relative to the elements: -2.62 eV per formula unit
* density of states at the Fermi level: 5.992 states/eV/f.u.
* calculated total energy: -26.392 eV per cell

Lattice parameters (Å, degrees): 8.1739 8.1739 4.8389 90.00 90.00 120.00
Space group P-6 (No. 174)
Symmetry-distinct sites (fractional):
1 Ba 0.0000 0.0000 0.0000 x1
2 Li 0.2061 0.4208 0.5000 x3
3 Li 0.6667 0.3333 0.0000 x1
4 Tl 0.0674 0.5345 0.0000 x3
5 Tl 0.3987 0.2033 0.5000 x3


2.
## Rb5I (PBE)

Data for a relaxed Rb5I crystal.

* ΔE_f (raw): -381.9 meV per atom
* density of states at the Fermi level: 3.371 states/eV/f.u.
* calculated total energy: -17.359 eV per cell

Lattice parameters (Å, degrees): 5.103 23.700 7.802 90.00 90.00 90.00
Space group Cmmm (No. 65)
Symmetry-distinct sites (fractional):
1 Rb 0.000 0.000 0.000 x2
2 Rb 0.000 0.118 0.500 x4
3 Rb 0.000 0.327 0.000 x4
4 I 0.000 0.500 0.500 x2


3.
## As2OsBr (PBE)

Data for a relaxed As2OsBr crystal.

* ΔE_f (raw): 325.9 meV per atom
* density of states at the Fermi level: 2.406 states/eV/f.u.
* excess energy over the best structure of this formula in the dataset: 256 meV per atom
* calculated total energy: -83.592 eV per cell

Lattice parameters (Å, degrees): 6.400 6.400 10.914 90.00 90.00 90.00
Space group I-42d (No. 122)
Symmetry-distinct sites (fractional):
1 As 0.153 0.250 0.125 x8
2 Os 0.000 0.000 0.000 x4
3 Br 0.000 0.000 0.500 x4


4.
## UGaI5 (PBE)

Data for a relaxed UGaI5 crystal.

* ΔE_f (raw): -636.1 meV per atom
* density of states at the Fermi level: 3.728 states/eV/f.u.
* calculated total energy: -106.075 eV per cell

Lattice parameters (Å, degrees): 13.493 9.541 11.762 90.00 115.95 90.00
Space group C2/c (No. 15)
Symmetry-distinct sites (fractional):
1 U 0.000 0.000 0.000 x4
2 Ga 0.000 0.493 0.250 x4
3 I 0.000 0.107 0.250 x4
4 I 0.073 0.289 0.969 x8
5 I 0.233 0.087 0.640 x8